(1)
VASP calculation (GGA-PBEsol) on a geometry-optimized K2LiCeI6 structure.

- density (Mg/m³) = 3.91
- total energy (eV/atom) = -3.42
- calculated volume (Å³/atom) = 41.92
- uncorrected formation energy (eV per atom) = -1.273
- total magnetization (μB/f.u.) = 1.00

Lattice parameters (Å, degrees): 11.8802 11.8802 11.8802 90.00 90.00 90.00
Last column: nearest neighbours and their distance in Å.
Space group Fm-3m (No. 225)
Inequivalent atoms, fractional coordinates:
K (0.2500, 0.2500, 0.2500)  12 I 4.20
Li (0.0000, 0.0000, 0.0000)  6 I 2.88
Ce (0.0000, 0.0000, 0.5000)  6 I 3.06
I (0.0000, 0.0000, 0.2421)  1 Li 2.88, 1 Ce 3.06

***

(2)
VASP calculation (GGA-PBEsol) on a geometry-optimized Rb2LiCeI6 structure.

- density (Mg/m³) = 4.24
- total energy (eV/atom) = -3.44
- calculated volume (Å³/atom) = 42.25
- uncorrected formation energy (eV per atom) = -1.317
- total magnetization (μB/f.u.) = 1.00

Lattice parameters (Å, degrees): 11.9112 11.9112 11.9112 90.00 90.00 90.00
Last column: nearest neighbours and their distance in Å.
Space group Fm-3m (No. 225)
Inequivalent atoms, fractional coordinates:
Rb (0.2500, 0.2500, 0.2500)  12 I 4.21
Li (0.0000, 0.0000, 0.0000)  6 I 2.89
Ce (0.0000, 0.0000, 0.5000)  6 I 3.07
I (0.0000, 0.0000, 0.2424)  1 Li 2.89, 1 Ce 3.07

***

(3)
VASP calculation (GGA-PBEsol) on a geometry-optimized CeV2IO9 structure.

- density (Mg/m³) = 4.81
- total energy (eV/atom) = -7.83
- calculated volume (Å³/atom) = 13.61
- uncorrected formation energy (eV per atom) = -2.069
- total magnetization (μB/f.u.) = 1.05

Lattice parameters (Å, degrees): 6.8966 14.3025 7.1766 90.00 90.00 90.00
Last column: nearest neighbours and their distance in Å.
Space group Pbcm (No. 57)
Inequivalent atoms, fractional coordinates:
Ce (0.1507, 0.0468, 0.2500)  7 O 2.31-2.50
V (0.1780, 0.7290, 0.7500)  2 O 1.66-1.67
V (0.4629, 0.2500, 0.0000)  2 O 1.69
I (0.2941, 0.0613, 0.7500)  3 O 1.82-1.86
O (0.0074, 0.6895, 0.2500)  1 V 1.66
O (0.0728, 0.6242, 0.7500)  1 V 1.67
O (0.1718, 0.5115, 0.0705)  1 I 1.86
O (0.2578, 0.7500, 0.0000)  3 V 1.90-1.93
O (0.3275, 0.1540, 0.0439)  1 V 1.69
O (0.4676, 0.5074, 0.7500)  1 I 1.82
O (0.4695, 0.7203, 0.7500)  3 V 1.90-2.01

***

(4)
VASP calculation (GGA-PBEsol) on a geometry-optimized CeSI structure.

- density (Mg/m³) = 5.81
- total energy (eV/atom) = -5.92
- calculated volume (Å³/atom) = 28.49
- uncorrected formation energy (eV per atom) = -1.668
- total magnetization (μB/f.u.) = 0.98

Lattice parameters (Å, degrees): 7.0890 13.0336 7.3998 90.00 90.00 90.00
Last column: nearest neighbours and their distance in Å.
Space group Pbca (No. 61)
Inequivalent atoms, fractional coordinates:
Ce (0.2382, 0.0706, 0.0310)  4 S 2.75-2.81
S (0.0022, 0.0386, 0.7358)  4 Ce 2.75-2.81
I (0.1808, 0.6944, 0.3997)  3 Ce 3.22-3.42, 1 S 3.51

***

(5)
VASP calculation (GGA-PBEsol) on a geometry-optimized Ce3SiI3 structure.

- density (Mg/m³) = 6.17
- total energy (eV/atom) = -5.40
- calculated volume (Å³/atom) = 31.89
- uncorrected formation energy (eV per atom) = -0.995
- total magnetization (μB/f.u.) = 2.95

Lattice parameters (Å, degrees): 12.1327 12.1327 12.1327 90.00 90.00 90.00
Last column: nearest neighbours and their distance in Å.
Space group I4_132 (No. 214)
Inequivalent atoms, fractional coordinates:
Ce (0.1114, 0.3614, 0.1250)  2 Si 2.87, 4 I 3.18-3.21
Si (0.1250, 0.1250, 0.1250)  6 Ce 2.87
I (0.1146, 0.1354, 0.6250)  4 Ce 3.18-3.21

***

(6)
VASP calculation (GGA-PBEsol) on a geometry-optimized SrCeI4 structure.

- density (Mg/m³) = 5.50
- total energy (eV/atom) = -4.02
- calculated volume (Å³/atom) = 36.98
- uncorrected formation energy (eV per atom) = -1.437
- total magnetization (μB/f.u.) = 1.28

Lattice parameters (Å, degrees): 10.0543 14.5800 7.3385 90.00 124.40 90.00
Last column: nearest neighbours and their distance in Å.
Space group C2/c (No. 15)
Inequivalent atoms, fractional coordinates:
Sr (0.0000, 0.1345, 0.2500)  8 I 3.31-3.45
Ce (0.0000, 0.4994, 0.7500)  8 I 3.23-3.33
I (0.1197, 0.3228, 0.5876)  2 Ce 3.31-3.33, 2 Sr 3.36-3.43
I (0.1964, 0.0624, 0.7672)  2 Ce 3.23-3.26, 2 Sr 3.31-3.45

***

(7)
VASP calculation (GGA-PBEsol) on a geometry-optimized Ce2In structure.

- density (Mg/m³) = 8.08
- total energy (eV/atom) = -5.55
- calculated volume (Å³/atom) = 27.05
- total magnetization (μB/f.u.) = 2.33

Lattice parameters (Å, degrees): 5.3549 5.3549 6.5352 90.00 90.00 120.00
Last column: nearest neighbours and their distance in Å.
Space group P6_3/mmc (No. 194)
Inequivalent atoms, fractional coordinates:
Ce (0.0000, 0.0000, 0.0000)  8 Ce 3.27-3.50, 6 In 3.50
Ce (0.3333, 0.6667, 0.2500)  5 In 3.09-3.27
In (0.3333, 0.6667, 0.7500)  5 Ce 3.09-3.27

***

(8)
VASP calculation (GGA-PBEsol) on a geometry-optimized Ce2In8Ir structure.

- density (Mg/m³) = 8.99
- total energy (eV/atom) = -4.67
- calculated volume (Å³/atom) = 23.37
- total magnetization (μB/f.u.) = 1.33

Lattice parameters (Å, degrees): 4.6289 4.6289 11.9963 90.00 90.00 90.00
Last column: nearest neighbours and their distance in Å.
Space group P4/mmm (No. 123)
Inequivalent atoms, fractional coordinates:
Ce (0.0000, 0.0000, 0.1935)  12 In 3.19-3.28
In (0.0000, 0.5000, 0.0000)  8 In 3.26-3.27, 4 Ce 3.28
In (0.0000, 0.5000, 0.3770)  2 Ir 2.74, 1 In 2.95
In (0.5000, 0.5000, 0.1911)  8 In 3.21-3.26, 4 Ce 3.27
Ir (0.0000, 0.0000, 0.5000)  8 In 2.74

***

(9)
VASP calculation (GGA-PBEsol) on a geometry-optimized Li2CeIn structure.

- density (Mg/m³) = 5.44
- total energy (eV/atom) = -3.54
- calculated volume (Å³/atom) = 20.51
- total magnetization (μB/f.u.) = 0.91

Lattice parameters (Å, degrees): 6.8978 6.8978 6.8978 90.00 90.00 90.00
Last column: nearest neighbours and their distance in Å.
Space group Fm-3m (No. 225)
Inequivalent atoms, fractional coordinates:
Li (0.2500, 0.2500, 0.2500)  4 In 2.99, 4 Ce 2.99
Ce (0.0000, 0.0000, 0.0000)  8 Li 2.99
In (0.0000, 0.0000, 0.5000)  8 Li 2.99

***

(10)
VASP calculation (GGA-PBEsol) on a geometry-optimized Ce2MgIn structure.

- density (Mg/m³) = 6.48
- total energy (eV/atom) = -4.53
- calculated volume (Å³/atom) = 26.88
- total magnetization (μB/f.u.) = 1.58

Lattice parameters (Å, degrees): 7.5480 7.5480 7.5480 90.00 90.00 90.00
Last column: nearest neighbours and their distance in Å.
Space group Fm-3m (No. 225)
Inequivalent atoms, fractional coordinates:
Ce (0.2500, 0.2500, 0.2500)  4 Mg 3.27, 4 In 3.27
Mg (0.0000, 0.0000, 0.0000)  8 Ce 3.27
In (0.0000, 0.0000, 0.5000)  8 Ce 3.27

***

(11)
VASP calculation (GGA-PBEsol) on a geometry-optimized Ce11In9Ni4 structure.

- density (Mg/m³) = 8.43
- total energy (eV/atom) = -5.55
- calculated volume (Å³/atom) = 23.06
- total magnetization (μB/f.u.) = 4.53

Lattice parameters (Å, degrees): 14.9417 20.9988 3.5272 90.00 90.00 90.00
Last column: nearest neighbours and their distance in Å.
Space group Cmmm (No. 65)
Inequivalent atoms, fractional coordinates:
Ce (0.0000, 0.0000, 0.0000)  2 Ce 3.01, 8 In 3.31
Ce (0.0000, 0.1435, 0.0000)  1 Ce 3.01, 8 In 3.31-3.32
Ce (0.0000, 0.3718, 0.0000)  4 Ni 2.86
Ce (0.1820, 0.5000, 0.0000)  4 Ni 2.84
Ce (0.2493, 0.1827, 0.0000)  1 Ce 2.83, 2 Ni 2.89, 2 In 3.15
In (0.0000, 0.5000, 0.5000)  4 Ni 3.07, 8 Ce 3.22-3.24
In (0.0970, 0.2579, 0.5000)  1 In 2.90, 1 Ni 3.01, 2 Ce 3.15
In (0.1587, 0.0713, 0.5000)  1 Ni 2.99, 1 In 2.99, 8 Ce 3.23-3.32
Ni (0.1462, 0.3971, 0.5000)  6 Ce 2.84-2.89, 3 In 2.99-3.07

***

(12)
VASP calculation (GGA-PBEsol) on a geometry-optimized CeInNi4 structure.

- density (Mg/m³) = 9.54
- total energy (eV/atom) = -6.08
- calculated volume (Å³/atom) = 14.20
- total magnetization (μB/f.u.) = 0.00

Lattice parameters (Å, degrees): 6.9853 6.9853 6.9853 90.00 90.00 90.00
Last column: nearest neighbours and their distance in Å.
Space group F-43m (No. 216)
Inequivalent atoms, fractional coordinates:
Ce (0.0000, 0.0000, 0.0000)  12 Ni 2.90, 4 In 3.02
In (0.2500, 0.2500, 0.7500)  12 Ni 2.89, 4 Ce 3.02
Ni (0.1239, 0.1239, 0.3761)  6 Ni 2.45-2.49

***

(13)
VASP calculation (GGA-PBEsol) on a geometry-optimized Ce2InNi2 structure.

- density (Mg/m³) = 8.70
- total energy (eV/atom) = -6.13
- calculated volume (Å³/atom) = 19.57
- total magnetization (μB/f.u.) = 0.00

Lattice parameters (Å, degrees): 7.4005 7.4005 3.5737 90.00 90.00 90.00
Last column: nearest neighbours and their distance in Å.
Space group P4/mbm (No. 127)
Inequivalent atoms, fractional coordinates:
Ce (0.1721, 0.3279, 0.0000)  6 Ni 2.76-2.86
In (0.0000, 0.0000, 0.5000)  4 Ni 2.92
Ni (0.1263, 0.6263, 0.5000)  1 Ni 2.64, 6 Ce 2.76-2.86, 2 In 2.92

***

(14)
VASP calculation (GGA-PBEsol) on a geometry-optimized Ce2InPd2 structure.

- density (Mg/m³) = 9.18
- total energy (eV/atom) = -6.32
- calculated volume (Å³/atom) = 22.00
- total magnetization (μB/f.u.) = 0.01

Lattice parameters (Å, degrees): 7.6686 7.6686 3.7409 90.00 90.00 90.00
Last column: nearest neighbours and their distance in Å.
Space group P4/mbm (No. 127)
Inequivalent atoms, fractional coordinates:
Ce (0.1744, 0.3256, 0.0000)  6 Pd 2.83-3.01
In (0.0000, 0.0000, 0.5000)  4 Pd 3.01
Pd (0.1296, 0.6296, 0.5000)  1 Pd 2.81, 6 Ce 2.83-3.01, 2 In 3.01

***

(15)
VASP calculation (GGA-PBEsol) on a geometry-optimized Ce2In8Pd structure.

- density (Mg/m³) = 8.38
- total energy (eV/atom) = -4.36
- calculated volume (Å³/atom) = 23.50
- total magnetization (μB/f.u.) = 1.21

Lattice parameters (Å, degrees): 4.6390 4.6390 12.0141 90.00 90.00 90.00
Last column: nearest neighbours and their distance in Å.
Space group P4/mmm (No. 123)
Inequivalent atoms, fractional coordinates:
Ce (0.0000, 0.0000, 0.1909)  12 In 3.20-3.28
In (0.0000, 0.5000, 0.0000)  8 In 3.26-3.28, 4 Ce 3.26
In (0.0000, 0.5000, 0.3749)  2 Pd 2.76, 1 In 3.01
In (0.5000, 0.5000, 0.1905)  8 In 3.21-3.26, 4 Ce 3.28
Pd (0.0000, 0.0000, 0.5000)  8 In 2.76

***

(16)
VASP calculation (GGA-PBEsol) on a geometry-optimized CeIn4Pd2 structure.

- density (Mg/m³) = 9.19
- total energy (eV/atom) = -4.90
- calculated volume (Å³/atom) = 20.97
- total magnetization (μB/f.u.) = 0.63

Lattice parameters (Å, degrees): 18.2600 4.5448 7.0744 90.00 90.00 90.00
Last column: nearest neighbours and their distance in Å.
Space group Pnma (No. 62)
Inequivalent atoms, fractional coordinates:
Ce (0.1397, 0.2500, 0.0222)  10 In 3.20-3.57, 4 Pd 3.31-3.46
In (0.0353, 0.7500, 0.8469)  3 Pd 2.72-2.80, 1 In 2.97
In (0.0705, 0.2500, 0.4947)  4 Pd 2.70-2.94
In (0.1849, 0.7500, 0.3232)  4 Pd 2.72-2.78, 1 In 2.91
In (0.1918, 0.7500, 0.7346)  3 Pd 2.68-2.72, 2 In 2.91-2.97
Pd (0.0391, 0.7500, 0.2428)  7 In 2.72-2.94
Pd (0.2177, 0.2500, 0.5332)  7 In 2.68-2.78

***

(17)
VASP calculation (GGA-PBEsol) on a geometry-optimized CeIn3Pt structure.

- density (Mg/m³) = 10.03
- total energy (eV/atom) = -5.06
- calculated volume (Å³/atom) = 22.50
- total magnetization (μB/f.u.) = 0.60

Lattice parameters (Å, degrees): 9.6554 9.6554 9.6554 90.00 90.00 90.00
Last column: nearest neighbours and their distance in Å.
Space group Pm-3n (No. 223)
Inequivalent atoms, fractional coordinates:
Ce (0.0000, 0.0000, 0.0000)  12 In 3.44
Ce (0.0000, 0.2500, 0.5000)  12 In 3.30-3.44, 4 Pt 3.41
In (0.0000, 0.3221, 0.1515)  2 Pt 2.69, 1 In 2.92
Pt (0.2500, 0.2500, 0.2500)  6 In 2.69